Below is an optimized crystal structure of BeBPIrAu, with properties calculated at the PBE-GGA level.

Properties
magnetic moment: 0.0 μB per formula unit
electronic total energy: -5.5755 eV/atom
energy relative to the elements: 0.01 eV per atom

abc: 3.3592 4.3041 4.9165
angles: 76.02 77.28 84.64
Fractional positions:
P: 0.0116 0.7183 0.8899
B: 0.5780 0.7847 0.6694
Ir: 0.3889 0.2910 0.6969
Au: 0.8131 0.0827 0.2271
Be: 0.9591 0.5194 0.3956